Here is an optimized crystal structure of Ce2ThCoAu from the Alexandria database. Energies are from PBE-GGA.

Properties
- DFT total energy (eV/atom) = -6.067
- formation energy (eV per formula unit) = -0.7
- crystal system = orthorhombic

a = 4.9092 Å, b = 4.9120 Å, c = 5.4390 Å
α = 90.00°, β = 90.00°, γ = 90.00°
Space group Pmm2 (No. 25)
Symmetry-distinct sites (fractional):
Ce1 0.0000 0.0000 0.0000 (multiplicity 1)
Ce2 0.5000 0.5000 0.1576 (multiplicity 1)
Th1 0.0000 0.5000 0.5790 (multiplicity 1)
Co1 0.0000 0.5000 0.0791 (multiplicity 1)
Au1 0.5000 0.0000 0.5781 (multiplicity 1)